# 1
## ZnOsBr2 (GGA-PBEsol)

Data for ZnOsBr2 after structural relaxation.

Lattice parameters (Å, degrees): 3.1523 4.8189 7.2408 109.72 90.00 109.09
Atoms (fractional coordinates):
1 Zn 0.1791 0.3582 0.6305
2 Br 0.0168 0.0337 0.9148
3 Br 0.8542 0.7084 0.3326
4 Os 0.4498 0.8997 0.6220

Values from the calculation:
distance to the lowest polymorph of the same formula	0.184	eV per atom
SG	Cm, No. 8
formation energy from raw total energies	0.377	eV per atom

---

# 2
## RbLaIn2 (GGA-PBEsol)

Data for RbLaIn2 after structural relaxation.

Lattice parameters (Å, degrees): 5.6837 5.6837 5.6837 60.00 60.00 60.00
Atoms (fractional coordinates):
1 In 0.2500 0.2500 0.2500
2 In 0.7500 0.7500 0.7500
3 La 0.5000 0.5000 0.5000
4 Rb 0.0000 0.0000 0.0000

Values from the calculation:
SG	Fm-3m, No. 225
formation enthalpy at 0 K	-61	meV per atom

---

# 3
## MgTl2ClO (GGA-PBEsol)

Data for MgTl2ClO after structural relaxation.

Lattice parameters (Å, degrees): 3.6635 5.8004 5.8004 90.00 90.00 90.00
Atoms (fractional coordinates):
1 Mg 0.0000 0.0000 0.0000
2 Tl 0.0000 0.0000 0.5000
3 Tl 0.0000 0.5000 0.0000
4 Cl 0.5000 0.5000 0.5000
5 O 0.5000 0.0000 0.0000

Values from the calculation:
SG	P4/mmm, No. 123
formation energy from raw total energies	-0.701	eV per atom

---

# 4
## NiAg3S (GGA-PBEsol)

Data for NiAg3S after structural relaxation.

Lattice parameters (Å, degrees): 4.6143 4.6143 4.6143 90.00 90.00 90.00
Each line ends with the local moment (μB).
Atoms (fractional coordinates):
1 Ag 0.5000 0.0000 0.0000  0.00
2 Ag 0.0000 0.0000 0.5000  0.00
3 Ag 0.0000 0.5000 0.0000  0.00
4 S 0.0000 0.0000 0.0000  0.00
5 Ni 0.5000 0.5000 0.5000  0.17

Values from the calculation:
SG	Pm-3m, No. 221
formation energy from raw total energies	0.820	eV per atom

---

# 5
## CoMoO3 (GGA-PBEsol)

Data for CoMoO3 after structural relaxation.

Lattice parameters (Å, degrees): 3.6323 3.6323 3.6323 90.00 90.00 90.00
Each line ends with the local moment (μB).
Atoms (fractional coordinates):
1 O 0.0000 0.0000 0.5000  -0.07
2 O 0.5000 0.0000 0.0000  -0.07
3 O 0.0000 0.5000 0.0000  -0.07
4 Co 0.0000 0.0000 0.0000  -0.93
5 Mo 0.5000 0.5000 0.5000  2.64

Values from the calculation:
SG	Pm-3m, No. 221
formation energy from raw total energies	-0.378	eV per atom

---

# 6
## TlZn2Au2 (GGA-PBEsol)

Data for TlZn2Au2 after structural relaxation.

Lattice parameters (Å, degrees): 3.8660 3.8660 6.9018 106.26 106.26 90.00
Atoms (fractional coordinates):
1 Zn 0.7500 0.2500 0.5000
2 Zn 0.2500 0.7500 0.5000
3 Au 0.6109 0.6109 0.2218
4 Au 0.3891 0.3891 0.7782
5 Tl 0.0000 0.0000 0.0000

Values from the calculation:
distance to the lowest polymorph of the same formula	0.000	eV per atom
SG	I4/mmm, No. 139
formation enthalpy at 0 K	-92	meV per atom

---

Copy entry 5 word for word.
## CoMoO3 (GGA-PBEsol)

Data for CoMoO3 after structural relaxation.

Lattice parameters (Å, degrees): 3.6323 3.6323 3.6323 90.00 90.00 90.00
Each line ends with the local moment (μB).
Atoms (fractional coordinates):
1 O 0.0000 0.0000 0.5000  -0.07
2 O 0.5000 0.0000 0.0000  -0.07
3 O 0.0000 0.5000 0.0000  -0.07
4 Co 0.0000 0.0000 0.0000  -0.93
5 Mo 0.5000 0.5000 0.5000  2.64

Values from the calculation:
SG	Pm-3m, No. 221
formation energy from raw total energies	-0.378	eV per atom

---

Please write out number 5 again, unchanged.
## CoMoO3 (GGA-PBEsol)

Data for CoMoO3 after structural relaxation.

Lattice parameters (Å, degrees): 3.6323 3.6323 3.6323 90.00 90.00 90.00
Each line ends with the local moment (μB).
Atoms (fractional coordinates):
1 O 0.0000 0.0000 0.5000  -0.07
2 O 0.5000 0.0000 0.0000  -0.07
3 O 0.0000 0.5000 0.0000  -0.07
4 Co 0.0000 0.0000 0.0000  -0.93
5 Mo 0.5000 0.5000 0.5000  2.64

Values from the calculation:
SG	Pm-3m, No. 221
formation energy from raw total energies	-0.378	eV per atom